# 1
# Rb2SiAgBr6, optimized geometry, DFT PBE
# - ΔE_f (raw) (eV per atom) = -0.966
# - calculated total energy (eV/cell) = -59.8
# - M_tot (μB per formula unit) = 0.0
# - DOS at the Fermi energy (states/eV/f.u.) = 1.70
data_Rb2SiAgBr6
_cell_length_a 7.630
_cell_length_b 7.630
_cell_length_c 10.850
_cell_angle_alpha 90.00
_cell_angle_beta 90.00
_cell_angle_gamma 90.00
_symmetry_space_group_name_H-M 'I 4/m m m'
_symmetry_Int_Tables_number 139
_symmetry_space_group_name_Hall '-I 4 2'
loop_
_atom_site_label
_atom_site_fract_x
_atom_site_fract_y
_atom_site_fract_z
Rb1 0.000 0.500 0.250
Si1 0.000 0.000 0.000
Ag1 0.000 0.000 0.500
Br1 0.000 0.000 0.238
Br2 0.239 0.239 0.000

***

# 2
# LiTh3Tl3Te8, optimized geometry, DFT PBE
# - ΔE_f (raw) (eV per atom) = -0.893
# - calculated total energy (eV/cell) = -209.4
# - M_tot (μB per formula unit) = 0.0
data_LiTh3Tl3Te8
_cell_length_a 9.0167
_cell_length_b 9.0167
_cell_length_c 24.6225
_cell_angle_alpha 90.00
_cell_angle_beta 90.00
_cell_angle_gamma 120.00
_symmetry_space_group_name_H-M 'R -3 m'
_symmetry_Int_Tables_number 166
_symmetry_space_group_name_Hall '-R 3 2"'
loop_
_atom_site_label
_atom_site_fract_x
_atom_site_fract_y
_atom_site_fract_z
Li1 0.0000 0.0000 0.0000
Th1 0.0000 0.5000 0.0000
Tl1 0.0000 0.5000 0.5000
Te1 0.0000 0.0000 0.2585
Te2 0.0034 0.5017 0.2631

***

# 3
# CdHgMo2, optimized geometry, DFT PBE
# - distance to the lowest polymorph of the same formula (meV/atom) = 120
# - formation enthalpy at 0 K (eV/atom) = 0.4316
# - calculated total energy (eV/cell) = -21.2
# - M_tot (μB per formula unit) = 0.0
# - DOS at the Fermi energy (states/eV/f.u.) = 2.32
data_CdHgMo2
_cell_length_a 2.902
_cell_length_b 4.222
_cell_length_c 6.068
_cell_angle_alpha 90.00
_cell_angle_beta 95.37
_cell_angle_gamma 90.00
_symmetry_space_group_name_H-M 'P 1 m 1'
_symmetry_Int_Tables_number 6
_symmetry_space_group_name_Hall 'P -2y'
loop_
_atom_site_label
_atom_site_fract_x
_atom_site_fract_y
_atom_site_fract_z
Cd1 0.000 0.000 0.000
Hg1 0.532 0.500 0.257
Mo1 0.114 0.000 0.536
Mo2 0.451 0.500 0.729

***

# 4
# YBeF2, optimized geometry, DFT PBE
# - distance to the lowest polymorph of the same formula (meV/atom) = 245
# - ΔE_f (raw) (eV per atom) = -1.505
# - calculated total energy (eV/cell) = -79.8
# - M_tot (μB per formula unit) = 0.0
# - DOS at the Fermi energy (states/eV/f.u.) = 2.23
data_YBeF2
_cell_length_a 4.825
_cell_length_b 4.825
_cell_length_c 10.113
_cell_angle_alpha 90.00
_cell_angle_beta 90.00
_cell_angle_gamma 90.00
_symmetry_space_group_name_H-M 'I -4 2 d'
_symmetry_Int_Tables_number 122
_symmetry_space_group_name_Hall 'I -4 2bw'
loop_
_atom_site_label
_atom_site_fract_x
_atom_site_fract_y
_atom_site_fract_z
Y1 0.000 0.000 0.000
Be1 0.000 0.000 0.500
F1 0.056 0.250 0.625

***

# 5
# BaHS2N, optimized geometry, DFT PBE
# - distance to the lowest polymorph of the same formula (meV/atom) = 0
# - calculated total energy (eV/cell) = -19.9
# - M_tot (μB per formula unit) = 1.9
# - DOS at the Fermi energy (states/eV/f.u.) = 1.02
data_BaHS2N
_cell_length_a 3.893
_cell_length_b 3.893
_cell_length_c 5.812
_cell_angle_alpha 90.00
_cell_angle_beta 90.00
_cell_angle_gamma 90.00
_symmetry_space_group_name_H-M 'P 4/m m m'
_symmetry_Int_Tables_number 123
_symmetry_space_group_name_Hall '-P 4 2'
loop_
_atom_site_label
_atom_site_fract_x
_atom_site_fract_y
_atom_site_fract_z
Ba1 0.000 0.000 0.000
H1 0.500 0.500 0.500
S1 0.000 0.500 0.500
N1 0.500 0.500 0.000

***

# 6
# TmPaGaMo, optimized geometry, DFT PBE
# - formation enthalpy at 0 K (eV/atom) = -0.0278
# - calculated total energy (eV/cell) = -111.7
# - M_tot (μB per formula unit) = 0.0
# - DOS at the Fermi energy (states/eV/f.u.) = 3.16
data_TmPaGaMo
_cell_length_a 7.006
_cell_length_b 7.006
_cell_length_c 7.006
_cell_angle_alpha 90.00
_cell_angle_beta 90.00
_cell_angle_gamma 90.00
_symmetry_space_group_name_H-M 'F -4 3 m'
_symmetry_Int_Tables_number 216
_symmetry_space_group_name_Hall 'F -4 2 3'
loop_
_atom_site_label
_atom_site_fract_x
_atom_site_fract_y
_atom_site_fract_z
Tm1 0.000 0.000 0.000
Pa1 0.000 0.000 0.500
Ga1 0.250 0.250 0.750
Mo1 0.250 0.250 0.250

***

# 7
# CuRe2P, optimized geometry, DFT PBE
# - formation enthalpy at 0 K (eV/atom) = 0.4956
# - calculated total energy (eV/cell) = -32.4
# - M_tot (μB per formula unit) = 0.0
# - DOS at the Fermi energy (states/eV/f.u.) = 2.94
data_CuRe2P
_cell_length_a 2.876
_cell_length_b 4.222
_cell_length_c 4.610
_cell_angle_alpha 90.00
_cell_angle_beta 90.00
_cell_angle_gamma 90.00
_symmetry_space_group_name_H-M 'P m m m'
_symmetry_Int_Tables_number 47
_symmetry_space_group_name_Hall '-P 2 2'
loop_
_atom_site_label
_atom_site_fract_x
_atom_site_fract_y
_atom_site_fract_z
Cu1 0.000 0.000 0.000
Re1 0.000 0.500 0.500
Re2 0.500 0.500 0.000
P1 0.500 0.000 0.500

***

# 8
# ErTmAlRu, optimized geometry, DFT PBE
# - formation enthalpy at 0 K (eV/atom) = -0.3997
# - calculated total energy (eV/cell) = -94.6
# - M_tot (μB per formula unit) = 0.0
# - DOS at the Fermi energy (states/eV/f.u.) = 2.86
data_ErTmAlRu
_cell_length_a 6.925
_cell_length_b 6.925
_cell_length_c 6.925
_cell_angle_alpha 90.00
_cell_angle_beta 90.00
_cell_angle_gamma 90.00
_symmetry_space_group_name_H-M 'F -4 3 m'
_symmetry_Int_Tables_number 216
_symmetry_space_group_name_Hall 'F -4 2 3'
loop_
_atom_site_label
_atom_site_fract_x
_atom_site_fract_y
_atom_site_fract_z
Er1 0.000 0.000 0.000
Tm1 0.000 0.000 0.500
Al1 0.250 0.250 0.750
Ru1 0.250 0.250 0.250

***

# 9
# TeOs4, optimized geometry, DFT PBE
# - distance to the lowest polymorph of the same formula (meV/atom) = 0
# - ΔE_f (raw) (eV per atom) = 2.028
# - calculated total energy (eV/cell) = -75.8
# - M_tot (μB per formula unit) = 0.0
# - DOS at the Fermi energy (states/eV/f.u.) = 8.34
data_TeOs4
_cell_length_a 5.782
_cell_length_b 5.782
_cell_length_c 5.782
_cell_angle_alpha 90.00
_cell_angle_beta 90.00
_cell_angle_gamma 90.00
_symmetry_space_group_name_H-M 'I m -3 m'
_symmetry_Int_Tables_number 229
_symmetry_space_group_name_Hall '-I 4 2 3'
loop_
_atom_site_label
_atom_site_fract_x
_atom_site_fract_y
_atom_site_fract_z
Te1 0.000 0.000 0.000
Os1 0.250 0.250 0.250

***

# 10
# EuDySc2, optimized geometry, DFT PBE
# - distance to the lowest polymorph of the same formula (meV/atom) = 43
# - formation enthalpy at 0 K (eV/atom) = 0.1677
# - calculated total energy (eV/cell) = -26.9
# - M_tot (μB per formula unit) = 6.9
# - DOS at the Fermi energy (states/eV/f.u.) = 6.57
data_EuDySc2
_cell_length_a 5.486
_cell_length_b 5.486
_cell_length_c 3.857
_cell_angle_alpha 90.00
_cell_angle_beta 90.00
_cell_angle_gamma 90.00
_symmetry_space_group_name_H-M 'P 4/m m m'
_symmetry_Int_Tables_number 123
_symmetry_space_group_name_Hall '-P 4 2'
loop_
_atom_site_label
_atom_site_fract_x
_atom_site_fract_y
_atom_site_fract_z
Eu1 0.000 0.000 0.000
Dy1 0.500 0.500 0.000
Sc1 0.000 0.500 0.500

***

# 11
# HfIrPt2Br, optimized geometry, DFT PBE
# - ΔE_f (raw) (eV per atom) = 1.116
# - calculated total energy (eV/cell) = -27.0
# - M_tot (μB per formula unit) = 0.0
# - DOS at the Fermi energy (states/eV/f.u.) = 2.70
data_HfIrPt2Br
_cell_length_a 4.613
_cell_length_b 4.613
_cell_length_c 4.826
_cell_angle_alpha 90.00
_cell_angle_beta 90.00
_cell_angle_gamma 90.00
_symmetry_space_group_name_H-M 'P 4/m m m'
_symmetry_Int_Tables_number 123
_symmetry_space_group_name_Hall '-P 4 2'
loop_
_atom_site_label
_atom_site_fract_x
_atom_site_fract_y
_atom_site_fract_z
Hf1 0.000 0.000 0.000
Ir1 0.500 0.500 0.000
Pt1 0.000 0.500 0.500
Br1 0.000 0.000 0.500

***

# 12
# MgPaNi, optimized geometry, DFT PBE
# - distance to the lowest polymorph of the same formula (meV/atom) = 201
# - formation enthalpy at 0 K (eV/atom) = 0.0772
# - calculated total energy (eV/cell) = -66.6
# - M_tot (μB per formula unit) = 0.0
# - DOS at the Fermi energy (states/eV/f.u.) = 3.05
data_MgPaNi
_cell_length_a 13.862
_cell_length_b 3.146
_cell_length_c 5.386
_cell_angle_alpha 90.00
_cell_angle_beta 90.00
_cell_angle_gamma 90.00
_symmetry_space_group_name_H-M 'A m m 2'
_symmetry_Int_Tables_number 38
_symmetry_space_group_name_Hall 'A 2 -2'
loop_
_atom_site_label
_atom_site_fract_x
_atom_site_fract_y
_atom_site_fract_z
Mg1 0.137 0.000 0.000
Pa1 0.345 0.000 0.660
Ni1 0.000 0.000 0.664
Ni2 0.500 0.000 0.996

***

> Which of these has the lowest calculated total energy?

LiTh3Tl3Te8

***

> The highest calculated total energy belongs to which entry?

BaHS2N

***

> Among the records above, which one has the lowest calculated total energy?

LiTh3Tl3Te8

***

> Which of these has the lowest calculated total energy?

LiTh3Tl3Te8